Entry 1:
DFT (PBE-GGA) results for RbSr2AgF8 after structural relaxation.

## Properties
- volume (A^3/atom) = 17.07
- theoretical density (g/cm3) = 4.220
- DOS(E_F) (states/eV/cell) = 1.19
- uncorrected formation energy (meV/atom) = -2721

Lattice parameters (Å, degrees): 4.4386 8.0675 5.7747 90.00 97.84 90.00
Last column: nearest neighbours and their distance in Å.
Positions (direct):
Rb (0.0000, 0.0000, 0.0000)  8 F 2.72-2.85
Sr (0.5000, 0.2518, 0.5000)  8 F 2.42-2.68
Sr (0.5000, 0.7482, 0.5000)  8 F 2.42-2.68
Ag (0.0000, 0.5000, 0.0000)  6 F 2.14-2.17
F (0.0462, 0.3024, 0.7512)  1 Ag 2.17
F (0.0462, 0.6976, 0.7512)  1 Ag 2.17
F (0.4251, 0.5000, 0.2257)  1 Ag 2.14
F (0.4542, 0.0000, 0.7207)  2 Sr 2.42, 1 F 2.64
F (0.5458, 0.0000, 0.2793)  2 Sr 2.42, 1 F 2.64
F (0.5749, 0.5000, 0.7743)  1 Ag 2.14
F (0.9538, 0.3024, 0.2488)  1 Ag 2.17
F (0.9538, 0.6976, 0.2488)  1 Ag 2.17

Entry 2:
DFT (PBE-GGA) results for SmZn5Pt2 after structural relaxation.

## Properties
- volume (A^3/atom) = 18.01
- ΔE_f (eV/atom) = -0.532
- theoretical density (g/cm3) = 10.001
- DOS(E_F) (states/eV/cell) = 3.73

Lattice parameters (Å, degrees): 6.4981 6.4981 6.4981 145.45 108.17 82.21
Last column: nearest neighbours and their distance in Å.
Positions (direct):
Sm (0.0000, 0.0000, 0.0000)  4 Pt 3.03, 8 Zn 3.38
Zn (0.1682, 0.3555, 0.8128)  3 Pt 2.55-2.66, 4 Zn 2.79-2.85
Zn (0.4573, 0.6445, 0.8128)  3 Pt 2.55-2.66, 4 Zn 2.79-2.85
Zn (0.5000, 0.0000, 0.5000)  2 Pt 2.56, 8 Zn 2.79
Zn (0.5427, 0.3555, 0.1872)  3 Pt 2.55-2.66, 4 Zn 2.79-2.85
Zn (0.8318, 0.6445, 0.1872)  3 Pt 2.55-2.66, 4 Zn 2.79-2.85
Pt (0.2382, 0.7382, 0.5000)  7 Zn 2.55-2.66
Pt (0.7618, 0.2618, 0.5000)  7 Zn 2.55-2.66

Entry 3:
DFT (PBE-GGA) results for Rb14Er2O9 after structural relaxation.

## Properties
- volume (A^3/atom) = 27.79
- theoretical density (g/cm3) = 4.004
- DOS(E_F) (states/eV/cell) = 4.48
- uncorrected formation energy (meV/atom) = -1361

Lattice parameters (Å, degrees): 8.2888 8.2888 11.6768 90.00 90.00 120.00
Last column: nearest neighbours and their distance in Å.
Positions (direct):
Rb (0.0000, 0.0000, 0.2488)  4 O 2.93-3.09
Rb (0.0000, 0.0000, 0.7512)  4 O 2.93-3.09
Rb (0.0142, 0.6625, 0.4037)  3 O 2.81-3.07
Rb (0.0954, 0.3908, 0.0929)  3 O 2.83-3.16
Rb (0.2954, 0.9046, 0.0929)  3 O 2.83-3.16
Rb (0.3375, 0.3517, 0.4037)  3 O 2.81-3.07
Rb (0.3517, 0.0142, 0.5963)  3 O 2.81-3.07
Rb (0.3908, 0.2954, 0.9071)  3 O 2.83-3.16
Rb (0.6092, 0.7046, 0.0929)  3 O 2.83-3.16
Rb (0.6483, 0.9858, 0.4037)  3 O 2.81-3.07
Rb (0.6625, 0.6483, 0.5963)  3 O 2.81-3.07
Rb (0.7046, 0.0954, 0.9071)  3 O 2.83-3.16
Rb (0.9046, 0.6092, 0.9071)  3 O 2.83-3.16
Rb (0.9858, 0.3375, 0.5963)  3 O 2.81-3.07
Er (0.3333, 0.6667, 0.7859)  4 O 2.14-2.18
Er (0.6667, 0.3333, 0.2141)  4 O 2.14-2.18
O (0.0000, 0.0000, 0.5000)  8 Rb 2.93-3.07
O (0.1208, 0.3928, 0.8451)  1 Er 2.18
O (0.2719, 0.8792, 0.8451)  1 Er 2.18
O (0.3333, 0.6667, 0.6029)  1 Er 2.14
O (0.3928, 0.2719, 0.1549)  1 Er 2.18
O (0.6072, 0.7281, 0.8451)  1 Er 2.18
O (0.6667, 0.3333, 0.3971)  1 Er 2.14
O (0.7281, 0.1208, 0.1549)  1 Er 2.18
O (0.8792, 0.6072, 0.1549)  1 Er 2.18

- Look up the volume of the third one.
  27.79 A^3/atom